No. 1
# Al3ZnRe

A relaxed structure of Al3ZnRe (PBE, the Alexandria database).

abc: 4.5084 4.5084 4.5084
angles: 90.00 90.00 90.00
Last column: nearest neighbours and their distance in Å.
Atoms (fractional coordinates):
Al: 0.5000 0.0000 0.0000  2 Zn 2.25
Re: 0.5000 0.5000 0.5000  12 Al 3.19
Al: 0.0000 0.5000 0.0000  2 Zn 2.25
Al: 0.0000 0.0000 0.5000  2 Zn 2.25
Zn: 0.0000 0.0000 0.0000  6 Al 2.25

Output
total DFT energy (no corrections): -19.0 eV for the cell shown
calculated volume: 18.33 A^3/atom
Fermi-level density of states: 4.43 states/eV/f.u.
symmetry: No. 221
ΔH_f (0 K): 1.188 eV per atom
distance to the lowest polymorph of the same formula: 0.730 eV per atom



No. 2
# BaNa2BiCl

A relaxed structure of BaNa2BiCl (PBE, the Alexandria database).

abc: 5.2978 5.2978 6.1477
angles: 90.00 90.00 90.00
Last column: nearest neighbours and their distance in Å.
Atoms (fractional coordinates):
Cl: 0.0000 0.0000 0.0000  4 Na 2.65
Na: 0.5000 0.0000 0.0000  2 Cl 2.65
Na: 0.0000 0.5000 0.0000  2 Cl 2.65
Bi: 0.5000 0.5000 0.5000  4 Ba 3.75, 8 Na 4.06
Ba: 0.0000 0.0000 0.5000  2 Cl 3.07

Output
formation energy (no corrections): -1011 meV/atom
total DFT energy (no corrections): -15.3 eV for the cell shown
calculated volume: 34.51 A^3/atom
Fermi-level density of states: 0.44 states/eV/f.u.
symmetry: No. 123



No. 3
# TiBeOF2

A relaxed structure of TiBeOF2 (PBE, the Alexandria database).

abc: 4.0864 4.0864 3.8046
angles: 90.00 90.00 90.00
Last column: nearest neighbours and their distance in Å.
Atoms (fractional coordinates):
Be: 0.5000 0.5000 0.5000  8 F 2.79, 4 O 2.89
F: 0.5000 0.0000 0.0000  2 Ti 2.04
F: 0.0000 0.5000 0.0000  2 Ti 2.04
Ti: 0.0000 0.0000 0.0000  2 O 1.90, 4 F 2.04
O: 0.0000 0.0000 0.5000  2 Ti 1.90

Output
formation energy (no corrections): -1755 meV/atom
total DFT energy (no corrections): -29.1 eV for the cell shown
calculated volume: 12.71 A^3/atom
Fermi-level density of states: 2.86 states/eV/f.u.
symmetry: No. 123
distance to the lowest polymorph of the same formula: 0.443 eV per atom



No. 4
# Y2MnW

A relaxed structure of Y2MnW (PBE, the Alexandria database).

abc: 3.1593 3.1593 8.6574
angles: 90.00 90.00 90.02
Last column: nearest neighbours and their distance in Å.
Atoms (fractional coordinates):
Y: 0.5000 0.5000 0.3196  4 Mn 3.00, 4 Y 3.16, 1 W 3.19
W: 0.5000 0.5000 0.6885  4 Mn 2.53
Mn: 0.0000 0.0000 0.5509  4 W 2.53
Y: 0.0000 0.0000 0.9410  4 W 3.13, 4 Y 3.16, 1 Mn 3.38

Output
total DFT energy (no corrections): -34.1 eV for the cell shown
calculated volume: 21.60 A^3/atom
Fermi-level density of states: 4.88 states/eV/f.u.
symmetry: No. 99
ΔH_f (0 K): 0.227 eV per atom
distance to the lowest polymorph of the same formula: 0.000 eV per atom



> Which value of calculated volume does entry 3 give?

12.71 A^3/atom



> Which of these has the highest calculated volume?

BaNa2BiCl



Please write out number 3 again, unchanged.
# TiBeOF2

A relaxed structure of TiBeOF2 (PBE, the Alexandria database).

abc: 4.0864 4.0864 3.8046
angles: 90.00 90.00 90.00
Last column: nearest neighbours and their distance in Å.
Atoms (fractional coordinates):
Be: 0.5000 0.5000 0.5000  8 F 2.79, 4 O 2.89
F: 0.5000 0.0000 0.0000  2 Ti 2.04
F: 0.0000 0.5000 0.0000  2 Ti 2.04
Ti: 0.0000 0.0000 0.0000  2 O 1.90, 4 F 2.04
O: 0.0000 0.0000 0.5000  2 Ti 1.90

Output
formation energy (no corrections): -1755 meV/atom
total DFT energy (no corrections): -29.1 eV for the cell shown
calculated volume: 12.71 A^3/atom
Fermi-level density of states: 2.86 states/eV/f.u.
symmetry: No. 123
distance to the lowest polymorph of the same formula: 0.443 eV per atom



> total DFT energy (no corrections) of number 4 (Y2MnW)?

-34.1 eV for the cell shown